# 1
The following is a PBE calculation of a relaxed structure of Pm3Sc4Pt4, from Alexandria via LeMat-Bulk.

Output
formation enthalpy at 0 K	-0.94	eV/atom
M_tot	0.00	μB per formula unit
symmetry	Immm

Cell: 4.441 7.587 8.648 Å, 116.02 104.88 90.00°
Fractional coordinates of all 11 atoms:
Pm: 0.109 0.109 0.217
Pm: 0.891 0.891 0.783
Pm: 0.000 0.500 0.000
Sc: 0.325 0.121 0.650
Sc: 0.675 0.471 0.350
Sc: 0.675 0.879 0.350
Sc: 0.325 0.529 0.650
Pt: 0.212 0.712 0.424
Pt: 0.788 0.288 0.576
Pt: 0.500 0.807 0.000
Pt: 0.500 0.193 0.000

# 2
The following is a PBE calculation of a relaxed structure of Ac3Ga2Hg3, from Alexandria via LeMat-Bulk.

Output
formation enthalpy at 0 K	-0.49	eV/atom
M_tot	0.00	μB per formula unit
symmetry	Cmcm

Cell: 4.817 6.361 16.419 Å, 90.00 90.00 112.25°
Fractional coordinates of all 16 atoms:
Ac: 0.909 0.818 0.396
Ac: 0.091 0.182 0.896
Ac: 0.909 0.818 0.104
Ac: 0.091 0.182 0.604
Ac: 0.630 0.261 0.250
Ac: 0.370 0.739 0.750
Ga: 0.796 0.592 0.894
Ga: 0.204 0.408 0.394
Ga: 0.796 0.592 0.606
Ga: 0.204 0.408 0.106
Hg: 0.624 0.248 0.462
Hg: 0.376 0.752 0.962
Hg: 0.624 0.248 0.038
Hg: 0.376 0.752 0.538
Hg: 0.347 0.694 0.250
Hg: 0.653 0.306 0.750

# 3
The following is a PBE calculation of a relaxed structure of Ce2DyUS4, from Alexandria via LeMat-Bulk.

Output
uncorrected formation energy	-1.86	eV/atom
M_tot	3.55	μB per formula unit
symmetry	P2/m

Cell: 3.934 6.870 6.845 Å, 109.21 90.00 90.00°
Fractional coordinates of all 8 atoms:
Ce: 0.500 0.000 0.500
Ce: 0.000 0.500 0.500
Dy: 0.000 0.000 0.000
U: 0.500 0.500 0.000
S: 0.500 0.246 0.239
S: 0.500 0.754 0.761
S: 0.000 0.252 0.760
S: 0.000 0.748 0.240

# 4
The following is a PBE calculation of a relaxed structure of P2Br, from Alexandria via LeMat-Bulk.

Output
uncorrected formation energy	-0.05	eV/atom
M_tot	0.00	μB per formula unit
offset from the most stable computed form	0	meV per atom
symmetry	C2/m

Cell: 9.014 9.014 6.412 Å, 84.27 84.27 21.73°
Fractional coordinates of all 6 atoms:
P: 0.470 0.470 0.852
P: 0.891 0.891 0.976
P: 0.530 0.530 0.148
P: 0.109 0.109 0.024
Br: 0.183 0.183 0.290
Br: 0.817 0.817 0.710

# 5
The following is a PBE calculation of a relaxed structure of BaZr2BeV, from Alexandria via LeMat-Bulk.

Output
formation enthalpy at 0 K	2.27	eV/atom
M_tot	1.19	μB per formula unit
symmetry	P4/mmm

Cell: 5.265 4.768 5.265 Å, 90.00 90.00 90.00°
Fractional coordinates of all 5 atoms:
Be: 0.500 0.500 0.500
Ba: 0.000 0.000 0.000
Zr: 0.000 0.000 0.500
Zr: 0.500 0.000 0.000
V: 0.000 0.500 0.000

# 6
The following is a PBE calculation of a relaxed structure of ScSb2IO, from Alexandria via LeMat-Bulk.

Output
uncorrected formation energy	0.55	eV/atom
M_tot	0.00	μB per formula unit
offset from the most stable computed form	816	meV per atom
symmetry	P4/mmm

Cell: 5.515 5.515 5.412 Å, 90.00 90.00 90.00°
Fractional coordinates of all 5 atoms:
I: 0.000 0.000 0.500
Sb: 0.000 0.500 0.000
Sb: 0.500 0.000 0.000
Sc: 0.000 0.000 0.000
O: 0.500 0.500 0.500

# 7
The following is a PBE calculation of a relaxed structure of Pa2Si4IrPt3, from Alexandria via LeMat-Bulk.

Output
uncorrected formation energy	-0.95	eV/atom
M_tot	0.53	μB per formula unit
symmetry	P-4m2

Cell: 4.212 4.212 9.747 Å, 90.00 90.00 90.00°
Fractional coordinates of all 10 atoms:
Pa: 0.500 0.000 0.250
Pa: 0.000 0.500 0.750
Si: 0.500 0.500 0.000
Si: 0.000 0.000 0.000
Si: 0.500 0.000 0.633
Si: 0.000 0.500 0.367
Ir: 0.500 0.500 0.500
Pt: 0.000 0.000 0.500
Pt: 0.500 0.000 0.878
Pt: 0.000 0.500 0.122

# 8
The following is a PBE calculation of a relaxed structure of YMn2Hg, from Alexandria via LeMat-Bulk.

Output
formation enthalpy at 0 K	0.26	eV/atom
M_tot	7.00	μB per formula unit
symmetry	P4/mmm

Cell: 3.480 3.480 6.675 Å, 90.00 90.00 89.99°
Fractional coordinates of all 4 atoms:
Hg: 0.500 0.500 0.750
Mn: 0.000 0.000 0.969
Mn: 0.000 0.000 0.531
Y: 0.500 0.500 0.250

# 9
The following is a PBE calculation of a relaxed structure of Nd3AgPd3, from Alexandria via LeMat-Bulk.

Output
formation enthalpy at 0 K	-0.45	eV/atom
M_tot	0.00	μB per formula unit
offset from the most stable computed form	239	meV per atom
symmetry	P6_3/m

Cell: 5.746 8.792 8.792 Å, 120.00 90.00 90.00°
Fractional coordinates of all 14 atoms:
Nd: 0.750 0.671 0.616
Nd: 0.750 0.384 0.055
Nd: 0.750 0.945 0.329
Nd: 0.250 0.329 0.384
Nd: 0.250 0.616 0.945
Nd: 0.250 0.055 0.671
Ag: 0.250 0.667 0.333
Ag: 0.750 0.333 0.667
Pd: 0.250 0.708 0.669
Pd: 0.250 0.331 0.039
Pd: 0.250 0.961 0.292
Pd: 0.750 0.292 0.331
Pd: 0.750 0.669 0.961
Pd: 0.750 0.039 0.708

# 10
The following is a PBE calculation of a relaxed structure of Tl2AgIr, from Alexandria via LeMat-Bulk.

Output
formation enthalpy at 0 K	0.48	eV/atom
M_tot	0.00	μB per formula unit
offset from the most stable computed form	162	meV per atom
symmetry	P4/mmm

Cell: 3.851 4.574 4.574 Å, 90.00 90.00 90.00°
Fractional coordinates of all 4 atoms:
Tl: 0.000 0.000 0.000
Tl: 0.000 0.500 0.500
Ir: 0.500 0.000 0.500
Ag: 0.500 0.500 0.000

# 11
The following is a PBE calculation of a relaxed structure of In5As, from Alexandria via LeMat-Bulk.

Output
formation enthalpy at 0 K	0.04	eV/atom
M_tot	0.00	μB per formula unit
offset from the most stable computed form	11	meV per atom
symmetry	Cmmm

Cell: 4.971 4.240 7.745 Å, 105.88 90.00 90.00°
Fractional coordinates of all 6 atoms:
As: 0.000 0.000 0.000
In: 0.500 0.834 0.668
In: 0.000 0.654 0.308
In: 0.500 0.500 0.000
In: 0.000 0.346 0.692
In: 0.500 0.166 0.332

# 12
The following is a PBE calculation of a relaxed structure of Ac3PrHg3, from Alexandria via LeMat-Bulk.

Output
formation enthalpy at 0 K	-0.32	eV/atom
M_tot	0.94	μB per formula unit
symmetry	Cmmm

Cell: 7.914 7.914 7.900 Å, 90.00 90.00 87.97°
Fractional coordinates of all 14 atoms:
Ac: 0.258 0.258 0.500
Ac: 0.246 0.754 0.500
Ac: 0.754 0.246 0.500
Ac: 0.277 0.723 0.000
Ac: 0.723 0.277 0.000
Ac: 0.742 0.742 0.500
Pr: 0.231 0.231 0.000
Pr: 0.769 0.769 0.000
Hg: 0.000 0.000 0.758
Hg: 0.500 0.000 0.240
Hg: 0.000 0.500 0.240
Hg: 0.500 0.000 0.760
Hg: 0.000 0.500 0.760
Hg: 0.000 0.000 0.242

# 13
The following is a PBE calculation of a relaxed structure of CeNdP, from Alexandria via LeMat-Bulk.

Output
formation enthalpy at 0 K	-0.77	eV/atom
M_tot	1.29	μB per formula unit
symmetry	F-43m

Cell: 4.860 4.860 4.860 Å, 60.00 60.00 60.00°
Fractional coordinates of all 3 atoms:
P: 0.250 0.250 0.250
Nd: 0.000 0.000 0.000
Ce: 0.500 0.500 0.500

# 14
The following is a PBE calculation of a relaxed structure of BPbI2Cl, from Alexandria via LeMat-Bulk.

Output
uncorrected formation energy	0.39	eV/atom
M_tot	0.00	μB per formula unit
symmetry	P4/mmm

Cell: 4.979 5.788 4.979 Å, 90.00 90.00 90.00°
Fractional coordinates of all 5 atoms:
Pb: 0.000 0.500 0.000
I: 0.000 0.000 0.500
I: 0.500 0.000 0.000
B: 0.000 0.000 0.000
Cl: 0.500 0.500 0.500

# 15
The following is a PBE calculation of a relaxed structure of Ac2SmSn3, from Alexandria via LeMat-Bulk.

Output
formation enthalpy at 0 K	-0.53	eV/atom
M_tot	0.00	μB per formula unit
symmetry	C2/c

Cell: 6.692 7.800 9.072 Å, 102.38 111.64 90.00°
Fractional coordinates of all 12 atoms:
Ac: 0.667 0.584 0.337
Ac: 0.670 0.084 0.337
Ac: 0.330 0.916 0.663
Ac: 0.333 0.416 0.663
Sm: 0.995 0.750 0.000
Sm: 0.005 0.250 0.000
Sn: 0.506 0.250 0.000
Sn: 0.494 0.750 0.000
Sn: 0.160 0.080 0.317
Sn: 0.843 0.420 0.683
Sn: 0.157 0.580 0.317
Sn: 0.840 0.920 0.683

# 16
The following is a PBE calculation of a relaxed structure of Tb7PmDy5, from Alexandria via LeMat-Bulk.

Output
formation enthalpy at 0 K	0.25	eV/atom
M_tot	0.00	μB per formula unit
symmetry	Imm2

Cell: 6.675 8.705 8.705 Å, 79.71 67.46 67.46°
Fractional coordinates of all 13 atoms:
Tb: 0.576 0.424 0.424
Tb: 0.270 0.730 0.730
Tb: 0.019 0.311 0.652
Tb: 0.019 0.652 0.311
Tb: 0.267 0.233 0.233
Tb: 0.520 0.810 0.150
Tb: 0.520 0.150 0.810
Pm: 0.966 0.034 0.034
Dy: 0.535 0.002 0.461
Dy: 0.002 0.002 0.461
Dy: 0.535 0.461 0.002
Dy: 0.002 0.461 0.002
Dy: 0.771 0.729 0.729

# 17
The following is a PBE calculation of a relaxed structure of Na3LiV, from Alexandria via LeMat-Bulk.

Output
formation enthalpy at 0 K	0.91	eV/atom
M_tot	4.85	μB per formula unit
offset from the most stable computed form	12	meV per atom
symmetry	Pm-3m

Cell: 5.811 5.811 5.811 Å, 90.00 90.00 90.00°
Fractional coordinates of all 5 atoms:
Na: 0.000 0.500 0.000
Na: 0.000 0.000 0.500
Na: 0.500 0.000 0.000
V: 0.000 0.000 0.000
Li: 0.500 0.500 0.500

# 18
The following is a PBE calculation of a relaxed structure of Rb2Sc2S, from Alexandria via LeMat-Bulk.

Output
uncorrected formation energy	0.13	eV/atom
M_tot	2.62	μB per formula unit
offset from the most stable computed form	288	meV per atom
symmetry	I4/mmm

Cell: 4.137 4.137 12.018 Å, 80.09 80.09 90.00°
Fractional coordinates of all 5 atoms:
Sc: 0.750 0.250 0.500
Sc: 0.250 0.750 0.500
S: 0.000 0.000 0.000
Rb: 0.426 0.426 0.147
Rb: 0.574 0.574 0.853

# 19
The following is a PBE calculation of a relaxed structure of RbSc2TeN, from Alexandria via LeMat-Bulk.

Output
uncorrected formation energy	-0.57	eV/atom
M_tot	0.00	μB per formula unit
symmetry	P4/mmm

Cell: 4.522 5.849 4.522 Å, 90.00 90.00 90.00°
Fractional coordinates of all 5 atoms:
Sc: 0.000 0.000 0.500
Sc: 0.500 0.000 0.000
Te: 0.500 0.500 0.500
Rb: 0.000 0.500 0.000
N: 0.000 0.000 0.000

# 20
The following is a PBE calculation of a relaxed structure of CaPm9Nd2, from Alexandria via LeMat-Bulk.

Output
formation enthalpy at 0 K	0.04	eV/atom
M_tot	0.00	μB per formula unit
offset from the most stable computed form	0	meV per atom
symmetry	P4/mmm

Cell: 5.194 5.194 15.545 Å, 90.00 90.00 90.00°
Fractional coordinates of all 12 atoms:
Ca: 0.000 0.000 0.000
Pm: 0.500 0.500 0.000
Pm: 0.500 0.500 0.333
Pm: 0.500 0.500 0.667
Pm: 0.500 0.000 0.171
Pm: 0.500 0.000 0.500
Pm: 0.500 0.000 0.829
Pm: 0.000 0.500 0.171
Pm: 0.000 0.500 0.500
Pm: 0.000 0.500 0.829
Nd: 0.000 0.000 0.333
Nd: 0.000 0.000 0.667